MgAu2: optimized geometry, GGA-PBE.

a = 7.349 Å, b = 7.349 Å, c = 4.624 Å
α = 90.00°, β = 90.00°, γ = 154.38°
Positions (direct):
Mg 0.102 0.898 0.750
Mg 0.898 0.102 0.250
Au 0.233 0.767 0.250
Au 0.439 0.561 0.750
Au 0.561 0.439 0.250
Au 0.767 0.233 0.750

* symmetry: Cmcm (63)
* energy of formation from the pure elements: -0.469 eV per atom
* calculated total energy: -3.18 eV per atom
* M_tot: 0.000 μB per cell


CeGe2Cl8: optimized geometry, GGA-PBE.

a = 7.041 Å, b = 7.099 Å, c = 7.842 Å
α = 95.58°, β = 105.98°, γ = 96.79°
Positions (direct):
Ce 0.000 0.000 0.000
Ge 0.497 0.269 0.375
Ge 0.503 0.731 0.625
Cl 0.217 0.846 0.828
Cl 0.232 0.917 0.303
Cl 0.270 0.332 0.093
Cl 0.305 0.396 0.564
Cl 0.695 0.604 0.436
Cl 0.730 0.668 0.907
Cl 0.768 0.083 0.697
Cl 0.783 0.154 0.172

* energy relative to the elements, uncorrected: -1.3083 eV/atom
* energy above the most stable polymorph in this dataset: 0 meV/atom
* symmetry: P-1 (2)
* calculated total energy: -4.03 eV per atom
* M_tot: 0.000 μB per cell